## Sc2TiGaC (PBE)

Data for Sc2TiGaC after structural relaxation.

Unit cell a=4.447 b=4.447 c=4.227 alpha=90.00 beta=90.00 gamma=90.00
Atoms (fractional coordinates):
Sc  0.000  0.500  0.000
Sc  0.500  0.000  0.000
Ti  0.000  0.000  0.500
Ga  0.500  0.500  0.500
C  0.000  0.000  0.000

The total energy comes out at -0.26425 hartree per atom. The energy of formation from the pure elements is -0.6288 eV/atom. The value obtained for the density of states at the Fermi level is 2.416 states/eV/f.u.